No. 1
! Pm3Sm4Dy5, relaxed, DFT PBE-GGA; values from VASP
&SYSTEM
  ibrav = 0, nat = 12, ntyp = 3
/
ATOMIC_SPECIES
Pm 145.00 Pm.upf
Sm 150.36 Sm.upf
Dy 162.50 Dy.upf
CELL_PARAMETERS angstrom
6.228 0.000 0.000
-0.017 7.191 0.000
-0.016 -0.007 8.809
ATOMIC_POSITIONS angstrom
Pm 0.000 0.000 0.000
Pm 1.020 5.393 5.879
Pm 5.176 1.791 2.930
Sm 1.031 1.791 5.880
Sm 2.056 3.594 2.920
Sm 4.140 3.590 5.889
Sm 5.165 5.393 2.929
Dy -0.008 3.596 0.000
Dy 2.061 7.188 2.921
Dy 3.092 1.787 8.808
Dy 3.104 5.397 0.000
Dy 4.135 -0.004 5.887
! * size of the total moment: 0.00 μB per formula unit
! * formation energy: 0.17 eV/f.u.
! * energy above the most stable polymorph in this dataset: 0.00 eV/f.u.

---

No. 2
! Tl5Au2, relaxed, DFT PBE-GGA; values from VASP
&SYSTEM
  ibrav = 0, nat = 14, ntyp = 2
/
ATOMIC_SPECIES
Tl 204.38 Tl.upf
Au 196.97 Au.upf
CELL_PARAMETERS angstrom
7.745 -3.419 0.000
7.745 3.419 0.000
-0.866 0.000 7.503
ATOMIC_POSITIONS angstrom
Tl 7.096 2.855 5.627
Tl 3.141 0.648 2.193
Tl 6.208 0.949 0.368
Tl 2.708 -0.648 5.945
Tl 8.850 0.949 3.384
Tl 5.775 -0.949 4.119
Tl 11.916 0.648 1.558
Tl 8.417 -0.949 7.135
Tl 11.484 -0.648 5.310
Tl 7.529 -2.855 1.876
Au 5.761 1.876 3.187
Au 9.296 1.876 0.565
Au 5.328 -1.876 6.938
Au 8.863 -1.876 4.316
! * size of the total moment: 0.00 μB per formula unit
! * formation energy: -0.14 eV/f.u.

---

No. 3
! Tb3Pm2Nd7, relaxed, DFT PBE-GGA; values from VASP
&SYSTEM
  ibrav = 0, nat = 12, ntyp = 3
/
ATOMIC_SPECIES
Tb 158.93 Tb.upf
Pm 145.00 Pm.upf
Nd 144.24 Nd.upf
CELL_PARAMETERS angstrom
2.929 -19.342 0.000
2.929 19.342 0.000
0.000 0.000 3.664
ATOMIC_POSITIONS angstrom
Tb 0.000 0.000 0.000
Tb 2.929 12.187 0.000
Tb 2.929 -12.187 0.000
Pm 2.929 5.743 1.832
Pm 2.929 -5.743 1.832
Nd 2.929 15.804 1.832
Nd 2.929 8.954 1.832
Nd 2.929 2.791 0.000
Nd 2.929 0.000 1.832
Nd 2.929 -2.791 0.000
Nd 2.929 -8.954 1.832
Nd 2.929 -15.804 1.832
! * size of the total moment: 0.00 μB per formula unit
! * formation energy: 1.31 eV/f.u.
! * energy above the most stable polymorph in this dataset: 0.48 eV/f.u.

---

Number 1: V 395 Å³ per cell. Number 2: V 397 Å³ per cell. Number 3: V 415 Å³ per cell.